1.
# Rb2ZnTc, relaxed, DFT PBE
data_Rb2ZnTc
_symmetry_space_group_name_H-M 'F m -3 m'
_symmetry_Int_Tables_number 225
_symmetry_space_group_name_Hall '-F 4 2 3'
_cell_length_a 8.537
_cell_length_b 8.537
_cell_length_c 8.537
_cell_angle_alpha 90.00
_cell_angle_beta 90.00
_cell_angle_gamma 90.00
loop_
_atom_site_label
_atom_site_fract_x
_atom_site_fract_y
_atom_site_fract_z
Rb1 0.250 0.250 0.250
Zn1 0.000 0.000 0.000
Tc1 0.000 0.000 0.500
# Formation energy   1.28 eV/atom
# Theoretical density   3.57 g/cm3
# Calculated volume   622.1 Å³ per cell
# D(E_F)   17.3 states/eV/cell
# Excess energy over the best structure of this formula in the dataset   198 meV/atom
# Magnetization   13.09 Bohr magnetons per cell


2.
# SiOF2, relaxed, DFT PBE
data_SiOF2
_symmetry_space_group_name_H-M 'R -3 m'
_symmetry_Int_Tables_number 166
_symmetry_space_group_name_Hall '-R 3 2"'
_cell_length_a 3.2969
_cell_length_b 3.2969
_cell_length_c 21.9939
_cell_angle_alpha 90.00
_cell_angle_beta 90.00
_cell_angle_gamma 120.00
loop_
_atom_site_label
_atom_site_fract_x
_atom_site_fract_y
_atom_site_fract_z
Si1 0.0000 0.0000 0.0000
O1 0.0000 0.0000 0.5000
F1 0.0000 0.0000 0.3814
# Theoretical density   1.97 g/cm3
# Formation energy from raw total energies   -0.42 eV/atom
# Calculated volume   207.0 Å³ per cell
# D(E_F)   8.5 states/eV/cell
# Excess energy over the best structure of this formula in the dataset   2581 meV/atom
# Magnetization   6.00 Bohr magnetons per cell


3.
# Np2PaPd2Se6, relaxed, DFT PBE
data_Np2PaPd2Se6
_symmetry_space_group_name_H-M 'P -3 1 m'
_symmetry_Int_Tables_number 162
_symmetry_space_group_name_Hall '-P 3 2'
_cell_length_a 6.8673
_cell_length_b 6.8673
_cell_length_c 6.6661
_cell_angle_alpha 90.00
_cell_angle_beta 90.00
_cell_angle_gamma 120.00
loop_
_atom_site_label
_atom_site_fract_x
_atom_site_fract_y
_atom_site_fract_z
Np1 0.3333 0.6667 0.0000
Pa1 0.0000 0.0000 0.5000
Pd1 0.3333 0.6667 0.5000
Se1 0.0000 0.3381 0.7416
# Theoretical density   8.49 g/cm3
# Formation energy from raw total energies   -0.85 eV/atom
# Calculated volume   272.3 Å³ per cell
# D(E_F)   23.5 states/eV/cell
# Magnetization   7.02 Bohr magnetons per cell


4.
# La4Pa3MnN8, relaxed, DFT PBE
data_La4Pa3MnN8
_symmetry_space_group_name_H-M 'R -3 m'
_symmetry_Int_Tables_number 166
_symmetry_space_group_name_Hall '-R 3 2"'
_cell_length_a 7.0967
_cell_length_b 7.0967
_cell_length_c 17.9057
_cell_angle_alpha 90.00
_cell_angle_beta 90.00
_cell_angle_gamma 120.00
loop_
_atom_site_label
_atom_site_fract_x
_atom_site_fract_y
_atom_site_fract_z
La1 0.0000 0.0000 0.0000
La2 0.0000 0.5000 0.0000
Pa1 0.0000 0.5000 0.5000
Mn1 0.0000 0.0000 0.5000
N1 0.0000 0.0000 0.2345
N2 0.0166 0.5083 0.7635
# Theoretical density   9.03 g/cm3
# Formation energy from raw total energies   -1.32 eV/atom
# Calculated volume   781.0 Å³ per cell
# D(E_F)   21.4 states/eV/cell
# Magnetization   12.65 Bohr magnetons per cell